! NiRhO2 PBE with a Hubbard U relaxed; values from VASP
! magnetic moment = 2.29 μB per formula unit
! N(E_F) = 3.02 states/eV per cell
! E_tot = -4.8099 eV/atom
&SYSTEM
  ibrav = 0, nat = 4, ntyp = 3
/
ATOMIC_SPECIES
Rh 102.91 Rh.upf
O 16.00 O.upf
Ni 58.69 Ni.upf
ATOMIC_POSITIONS angstrom
Rh 2.727 2.727 2.727
O 1.364 1.364 1.364
O 4.091 4.091 4.091
Ni 0.000 0.000 0.000
CELL_PARAMETERS angstrom
0.000 2.727 2.727
2.727 0.000 2.727
2.727 2.727 0.000